# Gd4BW3, optimized geometry, DFT PBE-GGA
# - Energy: -6.62 eV/atom
# - Magnetic moment: 0.01 μB/f.u.
data_Gd4BW3
_chemical_formula_sum 'Gd8 B2 W6'
_cell_length_a 5.744
_cell_length_b 5.744
_cell_length_c 11.320
_cell_angle_alpha 90.00
_cell_angle_beta 90.00
_cell_angle_gamma 90.00
_symmetry_space_group_name_H-M 'P 1'
_symmetry_Int_Tables_number 1
_symmetry_space_group_name_Hall 'P 1'
loop_
_atom_site_label
_atom_site_type_symbol
_atom_site_fract_x
_atom_site_fract_y
_atom_site_fract_z
_atom_site_occupancy
Gd1 Gd 0.000 0.000 0.227 1
Gd2 Gd 0.000 0.000 0.773 1
Gd3 Gd 0.000 0.500 0.000 1
Gd4 Gd 0.000 0.500 0.500 1
Gd5 Gd 0.500 0.000 0.000 1
Gd6 Gd 0.500 0.000 0.500 1
Gd7 Gd 0.500 0.500 0.273 1
Gd8 Gd 0.500 0.500 0.727 1
B1 B 0.000 0.000 0.000 1
B2 B 0.500 0.500 0.500 1
W1 W 0.000 0.000 0.500 1
W2 W 0.000 0.500 0.250 1
W3 W 0.000 0.500 0.750 1
W4 W 0.500 0.000 0.250 1
W5 W 0.500 0.000 0.750 1
W6 W 0.500 0.500 0.000 1

=====

# GdB4W, optimized geometry, DFT PBE-GGA
# - Energy: -7.83 eV/atom
# - Magnetic moment: 0.02 μB/f.u.
data_GdB4W
_chemical_formula_sum 'Gd1 B4 W1'
_cell_length_a 3.129
_cell_length_b 3.129
_cell_length_c 7.238
_cell_angle_alpha 90.00
_cell_angle_beta 90.00
_cell_angle_gamma 120.00
_symmetry_space_group_name_H-M 'P 1'
_symmetry_Int_Tables_number 1
_symmetry_space_group_name_Hall 'P 1'
loop_
_atom_site_label
_atom_site_type_symbol
_atom_site_fract_x
_atom_site_fract_y
_atom_site_fract_z
_atom_site_occupancy
Gd1 Gd 0.000 0.000 0.000 1
B1 B 0.333 0.667 0.277 1
B2 B 0.333 0.667 0.723 1
B3 B 0.667 0.333 0.277 1
B4 B 0.667 0.333 0.723 1
W1 W 0.000 0.000 0.500 1

=====

# GdB2W2, optimized geometry, DFT PBE-GGA
# - Energy: -8.78 eV/atom
# - Magnetic moment: 0.00 μB/f.u.
data_GdB2W2
_chemical_formula_sum 'Gd2 B4 W4'
_cell_length_a 5.029
_cell_length_b 5.029
_cell_length_c 9.027
_cell_angle_alpha 90.00
_cell_angle_beta 90.00
_cell_angle_gamma 138.65
_symmetry_space_group_name_H-M 'P 1'
_symmetry_Int_Tables_number 1
_symmetry_space_group_name_Hall 'P 1'
loop_
_atom_site_label
_atom_site_type_symbol
_atom_site_fract_x
_atom_site_fract_y
_atom_site_fract_z
_atom_site_occupancy
Gd1 Gd 0.071 0.929 0.750 1
Gd2 Gd 0.929 0.071 0.250 1
B1 B 0.227 0.773 0.155 1
B2 B 0.227 0.773 0.345 1
B3 B 0.773 0.227 0.655 1
B4 B 0.773 0.227 0.845 1
W1 W 0.366 0.634 0.547 1
W2 W 0.366 0.634 0.953 1
W3 W 0.634 0.366 0.047 1
W4 W 0.634 0.366 0.453 1

=====

# GdB4W, optimized geometry, DFT PBE-GGA
# - Energy: -7.97 eV/atom
# - Magnetic moment: 0.00 μB/f.u.
data_GdB4W
_chemical_formula_sum 'Gd4 B16 W4'
_cell_length_a 6.056
_cell_length_b 11.709
_cell_length_c 3.642
_cell_angle_alpha 90.00
_cell_angle_beta 90.00
_cell_angle_gamma 90.00
_symmetry_space_group_name_H-M 'P 1'
_symmetry_Int_Tables_number 1
_symmetry_space_group_name_Hall 'P 1'
loop_
_atom_site_label
_atom_site_type_symbol
_atom_site_fract_x
_atom_site_fract_y
_atom_site_fract_z
_atom_site_occupancy
Gd1 Gd 0.127 0.150 0.000 1
Gd2 Gd 0.373 0.650 0.000 1
Gd3 Gd 0.627 0.350 0.000 1
Gd4 Gd 0.873 0.850 0.000 1
B1 B 0.024 0.693 0.500 1
B2 B 0.113 0.547 0.500 1
B3 B 0.134 0.968 0.500 1
B4 B 0.214 0.814 0.500 1
B5 B 0.286 0.314 0.500 1
B6 B 0.366 0.468 0.500 1
B7 B 0.387 0.047 0.500 1
B8 B 0.476 0.193 0.500 1
B9 B 0.524 0.807 0.500 1
B10 B 0.613 0.953 0.500 1
B11 B 0.634 0.532 0.500 1
B12 B 0.714 0.686 0.500 1
B13 B 0.786 0.186 0.500 1
B14 B 0.866 0.032 0.500 1
B15 B 0.887 0.453 0.500 1
B16 B 0.976 0.307 0.500 1
W1 W 0.130 0.416 0.000 1
W2 W 0.370 0.916 0.000 1
W3 W 0.630 0.084 0.000 1
W4 W 0.870 0.584 0.000 1

=====

Please write out number 3 again, unchanged.
# GdB2W2, optimized geometry, DFT PBE-GGA
# - Energy: -8.78 eV/atom
# - Magnetic moment: 0.00 μB/f.u.
data_GdB2W2
_chemical_formula_sum 'Gd2 B4 W4'
_cell_length_a 5.029
_cell_length_b 5.029
_cell_length_c 9.027
_cell_angle_alpha 90.00
_cell_angle_beta 90.00
_cell_angle_gamma 138.65
_symmetry_space_group_name_H-M 'P 1'
_symmetry_Int_Tables_number 1
_symmetry_space_group_name_Hall 'P 1'
loop_
_atom_site_label
_atom_site_type_symbol
_atom_site_fract_x
_atom_site_fract_y
_atom_site_fract_z
_atom_site_occupancy
Gd1 Gd 0.071 0.929 0.750 1
Gd2 Gd 0.929 0.071 0.250 1
B1 B 0.227 0.773 0.155 1
B2 B 0.227 0.773 0.345 1
B3 B 0.773 0.227 0.655 1
B4 B 0.773 0.227 0.845 1
W1 W 0.366 0.634 0.547 1
W2 W 0.366 0.634 0.953 1
W3 W 0.634 0.366 0.047 1
W4 W 0.634 0.366 0.453 1